A relaxed HfPaFeIr crystal, computed with PBE.

Properties
Total magnetization   1.27 μB per formula unit
Energy relative to the elements   -0.35 eV/atom
Total energy   -152.740 eV for the cell shown
Theoretical density   14.670 g/cm3
Density of states at the Fermi level   5.0 states/eV/f.u.

a b c (Å): 6.677 6.677 6.677
angles (deg): 90.00 90.00 90.00
Sites, in units of the cell vectors:
Hf1 0.000 0.000 0.000
Hf2 0.000 0.500 0.500
Hf3 0.500 0.000 0.500
Hf4 0.500 0.500 0.000
Pa1 0.000 0.000 0.500
Pa2 0.000 0.500 0.000
Pa3 0.500 0.000 0.000
Pa4 0.500 0.500 0.500
Fe1 0.250 0.250 0.250
Fe2 0.250 0.750 0.750
Fe3 0.750 0.250 0.750
Fe4 0.750 0.750 0.250
Ir1 0.250 0.250 0.750
Ir2 0.250 0.750 0.250
Ir3 0.750 0.250 0.250
Ir4 0.750 0.750 0.750